Entry 1:
Here is crystalline K2ZnBi2 at its relaxed geometry from Alexandria via LeMat-Bulk. Energies are from PBE.

Cell lengths 7.205, 7.205, 6.627 Å; angles 57.07, 57.07, 90.00 degrees
Positions (direct):
Bi1 0.683 0.683 0.635
Bi2 0.317 0.317 0.365
K1 0.750 0.250 0.500
K2 0.250 0.750 0.500
Zn1 0.000 0.000 0.000

ΔH_f (0 K), eV/f.u.: -0.1
Space group: I4/mmm, No. 139
E above lowest polymorph, eV/atom: 0.240

***

Entry 2:
Here is crystalline LiBiPS4 at its relaxed geometry from Alexandria via LeMat-Bulk. Energies are from PBE.

Cell lengths 7.951, 7.604, 7.604 Å; angles 56.43, 58.48, 58.48 degrees
Positions (direct):
S1 0.262 0.246 0.231
S2 0.738 0.754 0.769
S3 0.262 0.731 0.746
S4 0.300 0.733 0.233
S5 0.738 0.269 0.254
S6 0.700 0.267 0.767
S7 0.266 0.267 0.767
S8 0.734 0.733 0.233
Bi1 0.000 0.000 0.000
Bi2 0.000 0.500 0.500
Li1 0.500 0.000 0.500
Li2 0.000 0.000 0.500
P1 0.632 0.618 0.118
P2 0.368 0.382 0.882

Energy relative to the elements, uncorrected, eV per atom: -0.3668
Space group: Imma, No. 74

***

Entry 3:
Here is crystalline LiYZr2 at its relaxed geometry from Alexandria via LeMat-Bulk. Energies are from PBE.

Cell lengths 5.490, 3.192, 5.506 Å; angles 81.42, 90.00, 90.00 degrees
Positions (direct):
Zr1 0.000 0.068 0.014
Zr2 0.000 0.432 0.486
Li1 0.500 0.250 0.250
Y1 0.500 0.750 0.750

ΔH_f (0 K), eV/f.u.: 0.9
Space group: P2/m, No. 10
E above lowest polymorph, eV/atom: 0.112

***

Entry 4:
Here is crystalline BiOsF3 at its relaxed geometry from Alexandria via LeMat-Bulk. Energies are from PBE.

Cell lengths 4.638, 4.638, 4.638 Å; angles 90.00, 90.00, 90.00 degrees
Last column: magnetic moment on the atom in μB.
Positions (direct):
Bi1 0.000 0.000 0.000  -0.06
F1 0.500 0.000 0.000  0.03
F2 0.000 0.500 0.000  0.04
F3 0.000 0.000 0.500  0.04
Os1 0.500 0.500 0.500  3.31

Energy relative to the elements, uncorrected, eV per atom: -0.2946
Space group: Pm-3m, No. 221
E above lowest polymorph, eV/atom: 0.065

***

Entry 5:
Here is crystalline AcErAs2Rh2 at its relaxed geometry from Alexandria via LeMat-Bulk. Energies are from PBE.

Cell lengths 4.290, 4.290, 8.115 Å; angles 90.00, 90.00, 120.00 degrees
Positions (direct):
Ac1 0.000 0.000 0.000
As1 0.667 0.333 0.725
As2 0.333 0.667 0.275
Er1 0.000 0.000 0.500
Rh1 0.333 0.667 0.726
Rh2 0.667 0.333 0.274

ΔH_f (0 K), eV/f.u.: -6.4
Space group: P-3m1, No. 164

***

Entry 6:
Here is crystalline Mn2RhSe at its relaxed geometry from Alexandria via LeMat-Bulk. Energies are from PBE.

Cell lengths 6.200, 4.462, 3.106 Å; angles 90.00, 59.94, 121.36 degrees
Last column: magnetic moment on the atom in μB.
Positions (direct):
Mn1 0.000 0.000 0.000  3.38
Mn2 0.500 0.000 0.500  3.38
Rh1 0.000 0.500 0.500  0.40
Se1 0.500 0.500 0.000  -0.12

Energy relative to the elements, uncorrected, eV per atom: 0.0514
Space group: Cmmm, No. 65

***

Entry 7:
Here is crystalline MgRu2Br at its relaxed geometry from Alexandria via LeMat-Bulk. Energies are from PBE.

Cell lengths 3.138, 3.138, 6.350 Å; angles 90.00, 90.00, 90.00 degrees
Positions (direct):
Br1 0.500 0.500 0.250
Ru1 0.000 0.000 0.005
Ru2 0.000 0.000 0.495
Mg1 0.500 0.500 0.750

Energy relative to the elements, uncorrected, eV per atom: 0.5665
Space group: P4/mmm, No. 123
E above lowest polymorph, eV/atom: 0.451

***

Entry 8:
Here is crystalline YMg2In at its relaxed geometry from Alexandria via LeMat-Bulk. Energies are from PBE.

Cell lengths 3.369, 4.509, 6.682 Å; angles 90.00, 90.00, 90.00 degrees
Positions (direct):
Mg1 0.000 0.000 0.514
Mg2 0.000 0.000 0.986
Y1 0.500 0.500 0.250
In1 0.500 0.500 0.750

ΔH_f (0 K), eV/f.u.: -0.5
Space group: Pmmm, No. 47